(1)
An optimized crystal structure of CsMgNb, computed with PBE-GGA.

Cell and atoms, written as CIF:
```
data_CsMgNb
_cell_length_a 5.659
_cell_length_b 5.659
_cell_length_c 7.088
_cell_angle_alpha 90.00
_cell_angle_beta 90.00
_cell_angle_gamma 90.00
_space_group_name_H-M_alt 'P 4/n m m'
_space_group_IT_number 129
loop_
_space_group_symop_operation_xyz
'x,y,z'
'-x,-y,-z'
'-y+1/2,x,z'
'y+1/2,-x,-z'
'-x+1/2,-y+1/2,z'
'x+1/2,y+1/2,-z'
'y,-x+1/2,z'
'-y,x+1/2,-z'
'x+1/2,-y,-z'
'-x+1/2,y,z'
'-y,-x,-z'
'y,x,z'
'-x,y+1/2,-z'
'x,-y+1/2,z'
'y+1/2,x+1/2,-z'
'-y+1/2,-x+1/2,z'
loop_
_atom_site_label
_atom_site_fract_x
_atom_site_fract_y
_atom_site_fract_z
_atom_site_occupancy
Cs1 0.250 0.250 0.001 1
Mg1 0.250 0.750 0.500 1
Nb1 0.250 0.250 0.501 1
```

Properties
The energy above the most stable polymorph in this dataset comes out at 766.3 meV/atom. For the volume, the calculation gives 227.0 Å³ per cell. The total energy is -2.919 eV per atom. For the total magnetization, the calculation gives 2.29 μB per formula unit. The theoretical density is 3659 kg/m3. For the formation energy, the calculation gives 1.25 eV/atom.

---

(2)
An optimized crystal structure of CrRh, computed with PBE-GGA.

Cell and atoms, written as CIF:
```
data_CrRh
_cell_length_a 4.969
_cell_length_b 4.969
_cell_length_c 4.734
_cell_angle_alpha 90.00
_cell_angle_beta 90.00
_cell_angle_gamma 90.00
_space_group_name_H-M_alt 'P 42/m n m'
_space_group_IT_number 136
_space_group_name_Hall '-P 4n 2n'
loop_
_atom_site_label
_atom_site_fract_x
_atom_site_fract_y
_atom_site_fract_z
_atom_site_occupancy
Cr1 0.160 0.160 0.000 1
Rh1 0.189 0.189 0.500 1
```

Properties
For the volume, the calculation gives 116.9 Å³ per cell. The total energy is -7.876 eV per atom. For the total magnetization, the calculation gives 0.00 μB per formula unit. The theoretical density is 8803 kg/m3. For the formation energy, the calculation gives 0.61 eV/atom.

---

- Which of these has the highest theoretical density?
  CrRh